[1]
An optimized crystal structure of Hg3AsP. Source: Alexandria, functional PBE.

electronic total energy = -0.060 Ha/atom
volume = 27.01 Å³/atom
energy relative to the lowest polymorph listed for this composition = 0.0 meV per atom
formation energy = 0.550 eV per atom

a = 5.131 Å, b = 5.131 Å, c = 5.131 Å
α = 90.00°, β = 90.00°, γ = 90.00°
Site moments in Bohr magnetons follow the coordinates.
Element x y z (fractional)
Hg 0.000 0.000 0.500  0.02
Hg 0.500 0.000 0.000  0.03
Hg 0.000 0.500 0.000  0.02
As 0.500 0.500 0.500  0.60
P 0.000 0.000 0.000  0.05

***

[2]
An optimized crystal structure of HgAs2P. Source: Alexandria, functional PBE.

electronic total energy = -0.126 Ha/atom
volume = 25.22 Å³/atom
energy relative to the lowest polymorph listed for this composition = 86.2 meV per atom
formation energy = 0.321 eV per atom

a = 3.570 Å, b = 3.570 Å, c = 7.916 Å
α = 90.00°, β = 90.00°, γ = 90.00°
Element x y z (fractional)
As 0.000 0.000 0.971
As 0.500 0.500 0.161
Hg 0.000 0.000 0.497
P 0.500 0.500 0.871

***

[3]
An optimized crystal structure of HgAsP. Source: Alexandria, functional PBE.

electronic total energy = -0.113 Ha/atom
volume = 23.83 Å³/atom
energy relative to the lowest polymorph listed for this composition = 322.6 meV per atom
formation energy = 0.369 eV per atom

a = 8.410 Å, b = 8.174 Å, c = 3.124 Å
α = 83.42°, β = 74.93°, γ = 21.66°
Element x y z (fractional)
Hg 0.328 0.328 0.672
P 0.638 0.638 0.362
As 0.034 0.034 0.966

***

[4]
An optimized crystal structure of HgAs2P. Source: Alexandria, functional PBE.

electronic total energy = -0.128 Ha/atom
volume = 20.58 Å³/atom
energy relative to the lowest polymorph listed for this composition = 35.0 meV per atom
formation energy = 0.270 eV per atom

a = 7.155 Å, b = 7.155 Å, c = 7.155 Å
α = 30.24°, β = 30.24°, γ = 30.24°
Element x y z (fractional)
As 0.260 0.260 0.260
As 0.004 0.004 0.004
Hg 0.495 0.495 0.495
P 0.741 0.741 0.741

***

[5]
An optimized crystal structure of HgAsP. Source: Alexandria, functional PBE.

electronic total energy = -0.123 Ha/atom
volume = 26.65 Å³/atom
energy relative to the lowest polymorph listed for this composition = 52.4 meV per atom
formation energy = 0.099 eV per atom

a = 4.478 Å, b = 4.539 Å, c = 8.147 Å
α = 82.60°, β = 83.26°, γ = 77.88°
Element x y z (fractional)
P 0.663 0.604 0.409
P 0.337 0.396 0.591
Hg 0.316 0.815 0.915
Hg 0.684 0.185 0.085
As 0.100 0.188 0.390
As 0.900 0.812 0.610

***

[6]
An optimized crystal structure of HgAsP. Source: Alexandria, functional PBE.

electronic total energy = -0.108 Ha/atom
volume = 19.86 Å³/atom
energy relative to the lowest polymorph listed for this composition = 477.8 meV per atom
formation energy = 0.525 eV per atom

a = 4.872 Å, b = 4.872 Å, c = 2.898 Å
α = 90.00°, β = 90.00°, γ = 120.00°
Element x y z (fractional)
As 0.000 0.000 0.833
P 0.333 0.667 0.831
Hg 0.667 0.333 0.336

***

[7]
An optimized crystal structure of HgAs2P. Source: Alexandria, functional PBE.

electronic total energy = -0.125 Ha/atom
volume = 23.52 Å³/atom
energy relative to the lowest polymorph listed for this composition = 122.5 meV per atom
formation energy = 0.357 eV per atom

a = 3.389 Å, b = 3.533 Å, c = 7.857 Å
α = 90.00°, β = 90.00°, γ = 90.00°
Element x y z (fractional)
As 0.000 0.000 0.595
As 0.000 0.000 0.905
Hg 0.500 0.500 0.250
P 0.500 0.500 0.750

***

[8]
An optimized crystal structure of Hg2AsP. Source: Alexandria, functional PBE.

electronic total energy = -0.079 Ha/atom
volume = 23.56 Å³/atom
energy relative to the lowest polymorph listed for this composition = 411.4 meV per atom
formation energy = 0.508 eV per atom

a = 6.825 Å, b = 6.825 Å, c = 6.825 Å
α = 146.94°, β = 146.94°, γ = 47.45°
Element x y z (fractional)
Hg 0.500 0.500 0.000
Hg 0.000 0.000 0.000
P 0.250 0.750 0.500
As 0.750 0.250 0.500

***

[9]
An optimized crystal structure of Hg2AsP. Source: Alexandria, functional PBE.

electronic total energy = -0.077 Ha/atom
volume = 21.31 Å³/atom
energy relative to the lowest polymorph listed for this composition = 463.4 meV per atom
formation energy = 0.560 eV per atom

a = 4.965 Å, b = 4.965 Å, c = 4.965 Å
α = 120.96°, β = 120.96°, γ = 88.35°
Element x y z (fractional)
As 0.750 0.250 0.500
Hg 0.250 0.750 0.500
Hg 0.000 0.000 0.000
P 0.500 0.500 0.000

***

[10]
An optimized crystal structure of HgAs2P. Source: Alexandria, functional PBE.

electronic total energy = -0.129 Ha/atom
volume = 21.53 Å³/atom
energy relative to the lowest polymorph listed for this composition = 0.0 meV per atom
formation energy = 0.235 eV per atom

a = 8.786 Å, b = 8.786 Å, c = 8.786 Å
α = 22.37°, β = 22.37°, γ = 22.37°
Element x y z (fractional)
As 0.478 0.478 0.478
As 0.022 0.022 0.022
Hg 0.250 0.250 0.250
P 0.750 0.750 0.750

***

[11]
An optimized crystal structure of Hg2AsP. Source: Alexandria, functional PBE.

electronic total energy = -0.084 Ha/atom
volume = 27.20 Å³/atom
energy relative to the lowest polymorph listed for this composition = 291.0 meV per atom
formation energy = 0.387 eV per atom

a = 6.026 Å, b = 6.026 Å, c = 7.352 Å
α = 65.81°, β = 65.81°, γ = 90.00°
Element x y z (fractional)
Hg 0.875 0.856 0.750
Hg 0.144 0.625 0.250
Hg 0.375 0.394 0.750
Hg 0.606 0.125 0.250
As 0.000 0.000 0.000
As 0.750 0.250 0.500
P 0.250 0.750 0.500
P 0.500 0.500 0.000

***

[12]
An optimized crystal structure of HgAs2P. Source: Alexandria, functional PBE.

electronic total energy = -0.114 Ha/atom
volume = 20.13 Å³/atom
energy relative to the lowest polymorph listed for this composition = 420.3 meV per atom
formation energy = 0.655 eV per atom

a = 4.306 Å, b = 4.324 Å, c = 4.324 Å
α = 90.00°, β = 90.00°, γ = 90.00°
Element x y z (fractional)
Hg 0.500 0.500 0.000
As 0.000 0.000 0.000
As 0.000 0.500 0.500
P 0.500 0.000 0.500

***

[13]
An optimized crystal structure of HgAsP3. Source: Alexandria, functional PBE.

electronic total energy = -0.118 Ha/atom
volume = 21.76 Å³/atom
energy relative to the lowest polymorph listed for this composition = 617.1 meV per atom
formation energy = 1.014 eV per atom

a = 4.774 Å, b = 4.774 Å, c = 4.774 Å
α = 90.00°, β = 90.00°, γ = 90.00°
Element x y z (fractional)
P 0.000 0.500 0.000
P 0.500 0.000 0.000
P 0.000 0.000 0.500
As 0.000 0.000 0.000
Hg 0.500 0.500 0.500

***

[14]
An optimized crystal structure of Hg2AsP. Source: Alexandria, functional PBE.

electronic total energy = -0.079 Ha/atom
volume = 23.92 Å³/atom
energy relative to the lowest polymorph listed for this composition = 411.0 meV per atom
formation energy = 0.507 eV per atom

a = 6.391 Å, b = 3.869 Å, c = 3.869 Å
α = 90.00°, β = 90.00°, γ = 90.00°
Element x y z (fractional)
Hg 0.000 0.500 0.500
Hg 0.000 0.000 0.000
P 0.500 0.500 0.000
As 0.500 0.000 0.500

***

[15]
An optimized crystal structure of Hg2AsP. Source: Alexandria, functional PBE.

electronic total energy = -0.079 Ha/atom
volume = 21.81 Å³/atom
energy relative to the lowest polymorph listed for this composition = 423.5 meV per atom
formation energy = 0.520 eV per atom

a = 5.291 Å, b = 5.291 Å, c = 5.291 Å
α = 137.40°, β = 116.24°, γ = 79.74°
Element x y z (fractional)
Hg 0.990 0.990 0.000
Hg 0.510 0.510 0.000
As 0.250 0.750 0.500
P 0.750 0.250 0.500